8
Lattice="6.311 0.000 0.000 0.000 7.446 0.000 -0.447 0.000 3.404" Properties=species:S:1:pos:R:3 comment="SrReAs2 PBE optimized geometry" energy_ev_per_atom=-5.418 pbc="T T T"
Sr 0.000 0.000 0.000
Sr 3.155 3.723 0.000
Re 0.000 3.723 0.000
Re 3.155 0.000 0.000
As 1.354 1.861 1.702
As 1.354 5.584 1.702
As 4.509 1.861 1.702
As 4.509 5.584 1.702



16
Lattice="7.755 0.000 0.000 0.000 7.755 0.000 0.000 0.000 7.706" Properties=species:S:1:pos:R:3 comment="Cd2HgPb5 PBE optimized geometry" energy_ev_per_atom=-2.530 pbc="T T T"
Cd 0.000 3.878 0.000
Cd 0.000 3.878 3.853
Cd 3.878 0.000 0.000
Cd 3.878 0.000 3.853
Hg 0.000 0.000 0.006
Hg 3.878 3.878 3.859
Pb 0.000 0.000 3.851
Pb 1.940 1.940 1.929
Pb 1.937 1.937 5.782
Pb 1.940 5.815 1.929
Pb 1.937 5.818 5.782
Pb 3.878 3.878 7.704
Pb 5.815 1.940 1.929
Pb 5.818 1.937 5.782
Pb 5.815 5.815 1.929
Pb 5.818 5.818 5.782